No. 1
Density functional theory data (PBE) for an optimized crystal structure of PuPa2Ni.

```
PuPa2Ni
1.0
3.149 0.000 0.000
0.000 5.070 0.000
0.000 0.000 5.070
Ni Pa Pu
1 2 1
direct
0.500 0.500 0.500
0.000 0.000 0.500
0.000 0.500 0.000
0.500 0.000 0.000
```

Values from the calculation:
The magnetization comes out at 1.012 μB/atom. The energy above the lowest structure with this stoichiometry comes out at 0.0 kJ/mol of atoms. The formation energy comes out at -0.37 eV per formula unit. As for the symmetry: No. 123.


No. 2
Density functional theory data (PBE) for an optimized crystal structure of CsCoI2Cl.

```
CsCoI2Cl
1.0
-2.885 -0.473 -5.012
1.320 -5.646 -0.227
-4.084 -1.053 2.450
Cs I Co Cl
1 2 1 1
direct
0.500 0.500 0.500
0.000 0.500 0.000
0.500 0.000 0.000
0.000 0.000 0.000
0.000 0.000 0.500
```

Values from the calculation:
The magnetization comes out at 0.511 μB/atom. For the formation energy from raw total energies, the calculation gives -3.21 eV per formula unit. As for the symmetry: No. 123.


No. 3
Density functional theory data (PBE) for an optimized crystal structure of Zr2PaOs.

```
Zr2PaOs
1.0
-2.584 1.548 3.774
0.306 -2.293 4.238
2.211 2.115 3.735
Pa Os Zr
1 1 2
direct
0.500 0.500 0.500
0.000 0.000 0.000
0.750 0.750 0.750
0.250 0.250 0.250
```

Values from the calculation:
The magnetization comes out at 0.000 μB/atom. The energy above the lowest structure with this stoichiometry comes out at 12.9 kJ/mol of atoms. The formation energy comes out at -0.28 eV per formula unit. As for the symmetry: No. 225.


The evaluated final energy for the records listed, in turn: -39.47 -16.11 -38.10 eV for the cell shown.